# BaLiU2Se4

BaLiU2Se4 after structural relaxation (GGA-PBE, the Alexandria database).

Output
* density of states at the Fermi level: 29.54 states/eV per cell
* volume: 26.6 Å³ per atom
* E_tot: -6.3381 eV per atom
* mass density: 7.30 g cm⁻³
* total moment: 6.598 μB/f.u.

a b c (Å): 4.256 7.256 14.423
angles (deg): 90.00 90.00 107.05
Each line ends with the local moment (μB).
Element x y z (fractional)
Se 0.265 0.530 0.385  -0.04
U 0.630 0.260 0.056  2.84
Ba 0.885 0.771 0.250  0.03
Ba 0.115 0.229 0.750  0.03
Se 0.436 0.871 0.750  -0.04
Li 0.845 0.691 0.750  0.01
U 0.370 0.740 0.944  2.84
U 0.630 0.260 0.444  2.84
U 0.370 0.740 0.556  2.84
Se 0.265 0.530 0.115  -0.04
Li 0.155 0.309 0.250  0.01
Se 0.000 0.000 0.000  -0.07
Se 0.735 0.470 0.615  -0.04
Se 0.564 0.129 0.250  -0.04
Se 0.000 0.000 0.500  -0.07
Se 0.735 0.470 0.885  -0.04



# YAg2Au

YAg2Au after structural relaxation (GGA-PBE, the Alexandria database).

Output
* density of states at the Fermi level: 1.91 states/eV per cell
* volume: 20.9 Å³ per atom
* E_tot: -4.2375 eV per atom
* mass density: 9.98 g cm⁻³
* distance to the lowest polymorph of the same formula: 38 meV/atom
* DFT formation energy: -0.38 eV per atom
* total moment: 0.000 μB/f.u.

a b c (Å): 3.590 3.589 6.478
angles (deg): 90.00 90.00 90.00
Element x y z (fractional)
Ag 0.500 0.500 0.245
Y 0.500 0.500 0.738
Au 0.000 0.000 0.488
Ag 0.000 0.000 0.030



> mass density of number 1 (BaLiU2Se4)?

7.30 g cm⁻³



> Number 1 is which compound?

BaLiU2Se4